No. 1
Below is a geometry-optimized MgMn4O8 structure, with properties calculated at the PBE+U level.

Cell lengths 6.053, 6.053, 6.053 Å; angles 59.32, 59.32, 59.32 degrees
Sites, in units of the cell vectors:
Mg: 0.000 0.000 0.000
Mn: 0.000 0.000 0.500
Mn: 0.000 0.500 0.000
Mn: 0.500 0.000 0.000
Mn: 0.500 0.500 0.500
O: 0.203 0.753 0.753
O: 0.232 0.232 0.232
O: 0.247 0.247 0.797
O: 0.247 0.797 0.247
O: 0.753 0.203 0.753
O: 0.753 0.753 0.203
O: 0.768 0.768 0.768
O: 0.797 0.247 0.247

Computed properties:
space group = R-3m, No. 166
energy above the most stable polymorph in this dataset = 0.018 eV per atom



No. 2
Below is a geometry-optimized MgMn2O4 structure, with properties calculated at the PBE+U level.

Cell lengths 6.006, 6.006, 6.087 Å; angles 119.67, 119.67, 60.96 degrees
Sites, in units of the cell vectors:
Mg: 0.000 0.000 0.000
Mg: 0.625 0.625 0.396
Mn: 0.123 0.624 0.397
Mn: 0.247 0.247 0.792
Mn: 0.624 0.123 0.397
Mn: 0.625 0.625 0.899
O: 0.382 0.382 0.202
O: 0.387 0.831 0.646
O: 0.396 0.396 0.678
O: 0.412 0.864 0.147
O: 0.831 0.387 0.646
O: 0.855 0.855 0.116
O: 0.864 0.412 0.147
O: 0.868 0.868 0.598

Computed properties:
space group = Cm, No. 8
energy above the most stable polymorph in this dataset = 0.015 eV per atom



Calculated magnetization in order - 14.00; 16.00 Bohr magnetons per cell
Calculated V in order - 154.4; 157.1 Å³/cell